1.
Entry from the Alexandria database: crystalline TmFeB at its relaxed geometry (GGA-PBE).

As for the formation enthalpy at 0 K: -0.318 eV/atom. As for the energy above the most stable polymorph in this dataset: 0.070 eV per atom. As for the magnetic moment: 0.00 Bohr magnetons per cell.

The space group is P-1 (No. 2) and the conventional cell measures 3.1307, 4.8151 and 5.8751 Å, with angles of 103.61, 105.38 and 90.05 degrees. The distinct sites, in fractional coordinates, are Tm at (0.1147, 0.3182, 0.2297), Fe at (0.3914, 0.1976, 0.7826) and B at (0.2283, 0.9029, 0.4567).

***

2.
Entry from the Alexandria database: crystalline Ca6Zn5Ge at its relaxed geometry (GGA-PBE).

As for the formation enthalpy at 0 K: -0.311 eV/atom. As for the magnetic moment: 0.00 Bohr magnetons per cell.

The space group is P2/m (No. 10) and the conventional cell measures 5.1503, 7.4287 and 8.1328 Å, with angles of 90.00, 108.14 and 90.00 degrees. The distinct sites, in fractional coordinates, are Ca at (0.0000, 0.2477, 0.0000), Ca at (0.3356, 0.2513, 0.6705), Zn at (0.1677, 0.5000, 0.3341), Zn at (0.1695, 0.0000, 0.3406), Zn at (0.5000, 0.5000, 0.0000) and Ge at (0.5000, 0.0000, 0.0000).

***

3.
Entry from the Alexandria database: crystalline Tb6Hg2CO at its relaxed geometry (GGA-PBE).

As for the magnetic moment: 0.00 Bohr magnetons per cell. As for the uncorrected formation energy: -0.91 eV per atom.

The space group is Fm-3m (No. 225) and the conventional cell measures 9.7221, 9.7221 and 9.7221 Å, with angles of 90.00, 90.00 and 90.00 degrees. The distinct sites, in fractional coordinates, are Tb at (0.0000, 0.0000, 0.2481), Hg at (0.2500, 0.2500, 0.2500), C at (0.0000, 0.0000, 0.0000) and O at (0.0000, 0.0000, 0.5000).

***

4.
Entry from the Alexandria database: crystalline PmSi2Pd5Au at its relaxed geometry (GGA-PBE).

As for the magnetic moment: 0.00 Bohr magnetons per cell. As for the uncorrected formation energy: -0.57 eV per atom.

The space group is P4/mmm (No. 123) and the conventional cell measures 4.1367, 4.1367 and 9.0344 Å, with angles of 90.00, 90.00 and 90.00 degrees. The distinct sites, in fractional coordinates, are Pm at (0.0000, 0.0000, 0.0000), Si at (0.5000, 0.5000, 0.3738), Pd at (0.0000, 0.5000, 0.2426), Pd at (0.5000, 0.5000, 0.0000) and Au at (0.0000, 0.0000, 0.5000).

***

5.
Entry from the Alexandria database: crystalline EuAlIn at its relaxed geometry (GGA-PBE).

As for the formation enthalpy at 0 K: -0.217 eV/atom. As for the magnetic moment: 14.27 Bohr magnetons per cell.

The space group is I4mm (No. 107) and the conventional cell measures 3.5212, 3.5212 and 12.4398 Å, with angles of 90.00, 90.00 and 90.00 degrees. The distinct sites, in fractional coordinates, are Eu at (0.0000, 0.0000, 0.0000), Al at (0.0000, 0.0000, 0.3253) and In at (0.0000, 0.0000, 0.6907).

***

6.
Entry from the Alexandria database: crystalline HfSc5Os6 at its relaxed geometry (GGA-PBE).

As for the formation enthalpy at 0 K: -0.400 eV/atom. As for the magnetic moment: 0.00 Bohr magnetons per cell.

The space group is Immm (No. 71) and the conventional cell measures 4.5487, 6.4649 and 13.6683 Å, with angles of 90.00, 90.00 and 90.00 degrees. The distinct sites, in fractional coordinates, are Hf at (0.0000, 0.0000, 0.0000), Sc at (0.0000, 0.0000, 0.3335), Sc at (0.0000, 0.5000, 0.0000), Sc at (0.0000, 0.5000, 0.3316), Os at (0.0000, 0.2484, 0.1657) and Os at (0.0000, 0.2524, 0.5000).

***

7.
Entry from the Alexandria database: crystalline Dy4Al12Pt at its relaxed geometry (GGA-PBE).

As for the formation enthalpy at 0 K: -0.576 eV/atom. As for the magnetic moment: 0.00 Bohr magnetons per cell.

The space group is Im-3m (No. 229) and the conventional cell measures 8.6505, 8.6505 and 8.6505 Å, with angles of 90.00, 90.00 and 90.00 degrees. The distinct sites, in fractional coordinates, are Dy at (0.2500, 0.2500, 0.2500), Al at (0.0000, 0.0000, 0.2929), Al at (0.0000, 0.2500, 0.5000) and Pt at (0.0000, 0.0000, 0.0000).

***

8.
Entry from the Alexandria database: crystalline Cu2HgF8 at its relaxed geometry (GGA-PBE).

As for the energy above the most stable polymorph in this dataset: 0.000 eV per atom. As for the magnetic moment: 0.00 Bohr magnetons per cell. As for the uncorrected formation energy: -1.27 eV per atom.

The space group is C2/m (No. 12) and the conventional cell measures 9.7692, 6.1024 and 4.7302 Å, with angles of 90.00, 90.27 and 90.00 degrees. The distinct sites, in fractional coordinates, are Cu at (0.1580, 0.0000, 0.0997), Hg at (0.0000, 0.5000, 0.5000), F at (0.0703, 0.0000, 0.7631), F at (0.1364, 0.2942, 0.1307) and F at (0.2213, 0.5000, 0.6056).

***

no.,E_tot (eV/atom)
1,-6.8556
2,-2.2275
3,-5.1689
4,-5.5488
5,-5.8021
6,-9.4826
7,-4.6559
8,-3.3985